First-principles (PBE-GGA) data for RbMgSe2N after structural relaxation, as listed in Alexandria.

Final energy = -3.395 eV/atom
Total magnetization = 3.93 Bohr magnetons per cell
ΔE_f (raw) = 176 meV/atom
Excess energy over the best structure of this formula in the dataset = 0.000 eV per atom

Geometry as CIF:
```
data_RbMgSe2N
_chemical_formula_sum 'Rb1 Mg1 Se2 N1'
_cell_length_a 5.4520
_cell_length_b 5.4520
_cell_length_c 4.3630
_cell_angle_alpha 90.00
_cell_angle_beta 90.00
_cell_angle_gamma 90.00
_space_group_name_H-M_alt 'P 4/m m m'
_space_group_IT_number 123
_space_group_name_Hall '-P 4 2'
loop_
_atom_site_label
_atom_site_fract_x
_atom_site_fract_y
_atom_site_fract_z
Rb1 0.0000 0.0000 0.0000
Mg1 0.5000 0.5000 0.5000
Se1 0.0000 0.5000 0.5000
N1 0.5000 0.5000 0.0000
```